First-principles (PBE) data for a geometry-optimized Na2TaI structure, as listed in Alexandria via LeMat-Bulk.

```
data_Na2TaI
_chemical_formula_sum 'Na8 Ta4 I4'
_space_group_name_H-M_alt 'F m -3 m'
_space_group_IT_number 225
_space_group_name_Hall '-F 4 2 3'
_cell_length_a 7.895
_cell_length_b 7.895
_cell_length_c 7.895
_cell_angle_alpha 90.00
_cell_angle_beta 90.00
_cell_angle_gamma 90.00
loop_
_atom_site_label
_atom_site_fract_x
_atom_site_fract_y
_atom_site_fract_z
_atom_site_occupancy
Na1 0.250 0.250 0.250 1
Ta1 0.000 0.000 0.000 1
I1 0.000 0.000 0.500 1
```

Total magnetic moment, μB/cell: 16.05
E above lowest polymorph, eV per formula unit: 0.32
Raw formation energy, eV per atom: 1.028
D(E_F), states/eV/atom: 0.666